Record 1
DFT (PBE) results for crystalline Mn4Ga2C at its relaxed geometry.

Structure (CIF):
```
data_Mn4Ga2C
_symmetry_space_group_name_H-M 'I 4/m m m'
_symmetry_Int_Tables_number 139
_symmetry_space_group_name_Hall '-I 4 2'
_cell_length_a 3.772
_cell_length_b 3.772
_cell_length_c 12.835
_cell_angle_alpha 90.00
_cell_angle_beta 90.00
_cell_angle_gamma 90.00
loop_
_atom_site_label
_atom_site_type_symbol
_atom_site_fract_x
_atom_site_fract_y
_atom_site_fract_z
Mn1 Mn 0.000 0.000 0.161
Mn2 Mn 0.000 0.500 0.000
Ga1 Ga 0.000 0.000 0.359
C1 C 0.000 0.000 0.000
```

Record 2
DFT (PBE) results for crystalline Mn22GaC6 at its relaxed geometry.

Structure (CIF):
```
data_Mn22GaC6
_symmetry_space_group_name_H-M 'F m -3 m'
_symmetry_Int_Tables_number 225
_symmetry_space_group_name_Hall '-F 4 2 3'
_cell_length_a 10.422
_cell_length_b 10.422
_cell_length_c 10.422
_cell_angle_alpha 90.00
_cell_angle_beta 90.00
_cell_angle_gamma 90.00
loop_
_atom_site_label
_atom_site_type_symbol
_atom_site_fract_x
_atom_site_fract_y
_atom_site_fract_z
Mn1 Mn 0.000 0.171 0.171
Mn2 Mn 0.118 0.118 0.382
Mn3 Mn 0.250 0.250 0.250
Ga1 Ga 0.000 0.000 0.000
C1 C 0.000 0.000 0.279
```

DFT formation energy, record by record: -6; -83 meV per atom